1.
# La6Nd2Ho3 GGA-PBE optimized geometry
data_La6Nd2Ho3
_cell_length_a 6.336
_cell_length_b 8.197
_cell_length_c 8.226
_cell_angle_alpha 107.55
_cell_angle_beta 97.30
_cell_angle_gamma 104.62
_symmetry_space_group_name_H-M 'P -1'
_symmetry_Int_Tables_number 2
loop_
_symmetry_equiv_pos_as_xyz
'x,y,z'
'-x,-y,-z'
loop_
_atom_site_label
_atom_site_fract_x
_atom_site_fract_y
_atom_site_fract_z
La1 0.045 0.183 0.412
La2 0.226 0.907 0.048
La3 0.315 0.273 0.862
Nd1 0.411 0.637 0.681
Ho1 0.137 0.546 0.228
Ho2 0.500 0.000 0.500
# **Energy of formation**: 0.021 eV/atom

2.
# LaNdHo2P4 GGA-PBE optimized geometry
data_LaNdHo2P4
_cell_length_a 7.105
_cell_length_b 4.107
_cell_length_c 7.112
_cell_angle_alpha 90.00
_cell_angle_beta 109.46
_cell_angle_gamma 90.00
_symmetry_space_group_name_H-M 'P 1 2/m 1'
_symmetry_Int_Tables_number 10
loop_
_symmetry_equiv_pos_as_xyz
'x,y,z'
'-x,-y,-z'
'-x,y,-z'
'x,-y,z'
loop_
_atom_site_label
_atom_site_fract_x
_atom_site_fract_y
_atom_site_fract_z
La1 0.000 0.000 0.000
Nd1 0.000 0.500 0.500
Ho1 0.500 0.000 0.500
Ho2 0.500 0.500 0.000
P1 0.262 0.000 0.752
P2 0.264 0.500 0.256
# **Energy of formation**: -1.572 eV/atom

3.
# LaNd2HoP4 GGA-PBE optimized geometry
data_LaNd2HoP4
_cell_length_a 7.187
_cell_length_b 4.155
_cell_length_c 7.189
_cell_angle_alpha 90.00
_cell_angle_beta 109.41
_cell_angle_gamma 90.00
_symmetry_space_group_name_H-M 'P 1 2/m 1'
_symmetry_Int_Tables_number 10
loop_
_symmetry_equiv_pos_as_xyz
'x,y,z'
'-x,-y,-z'
'-x,y,-z'
'x,-y,z'
loop_
_atom_site_label
_atom_site_fract_x
_atom_site_fract_y
_atom_site_fract_z
La1 0.000 0.000 0.000
Nd1 0.000 0.500 0.500
Nd2 0.500 0.000 0.500
Ho1 0.500 0.500 0.000
P1 0.257 0.500 0.249
P2 0.258 0.000 0.756
# **Energy of formation**: -1.548 eV/atom

4.
# LaPm6Nd2Ho GGA-PBE optimized geometry
data_LaPm6Nd2Ho
_cell_length_a 9.205
_cell_length_b 15.428
_cell_length_c 9.966
_cell_angle_alpha 90.00
_cell_angle_beta 99.29
_cell_angle_gamma 90.00
_symmetry_space_group_name_H-M 'C 1 2/c 1'
_symmetry_Int_Tables_number 15
loop_
_symmetry_equiv_pos_as_xyz
'x,y,z'
'-x,-y,-z'
'-x,y,-z+1/2'
'x,-y,z+1/2'
'x+1/2,y+1/2,z'
'-x+1/2,-y+1/2,-z'
'-x+1/2,y+1/2,-z+1/2'
'x+1/2,-y+1/2,z+1/2'
loop_
_atom_site_label
_atom_site_fract_x
_atom_site_fract_y
_atom_site_fract_z
La1 0.000 0.096 0.250
Pm1 0.064 0.316 0.444
Pm2 0.104 0.103 0.622
Pm3 0.198 0.276 0.816
Nd1 0.239 0.449 0.042
Ho1 0.000 0.480 0.750
# **Energy of formation**: 0.117 eV/atom

5.
# LaPm4Nd2Ho GGA-PBE optimized geometry
data_LaPm4Nd2Ho
_cell_length_a 7.300
_cell_length_b 7.341
_cell_length_c 10.321
_cell_angle_alpha 90.06
_cell_angle_beta 90.04
_cell_angle_gamma 90.22
_symmetry_space_group_name_H-M 'P -1'
_symmetry_Int_Tables_number 2
loop_
_symmetry_equiv_pos_as_xyz
'x,y,z'
'-x,-y,-z'
loop_
_atom_site_label
_atom_site_fract_x
_atom_site_fract_y
_atom_site_fract_z
La1 0.000 0.000 0.000
La2 0.500 0.000 0.500
Pm1 0.247 0.251 0.747
Pm2 0.247 0.749 0.747
Pm3 0.248 0.251 0.253
Pm4 0.248 0.749 0.253
Nd1 0.000 0.500 0.000
Nd2 0.500 0.000 0.000
Nd3 0.500 0.500 0.000
Nd4 0.500 0.500 0.500
Ho1 0.000 0.000 0.500
Ho2 0.000 0.500 0.500
# **Energy of formation**: 0.014 eV/atom

6.
# La4PmNdHo2 GGA-PBE optimized geometry
data_La4PmNdHo2
_cell_length_a 6.359
_cell_length_b 3.685
_cell_length_c 12.039
_cell_angle_alpha 90.00
_cell_angle_beta 100.15
_cell_angle_gamma 90.00
_symmetry_space_group_name_H-M 'P 1 2/m 1'
_symmetry_Int_Tables_number 10
loop_
_symmetry_equiv_pos_as_xyz
'x,y,z'
'-x,-y,-z'
'-x,y,-z'
'x,-y,z'
loop_
_atom_site_label
_atom_site_fract_x
_atom_site_fract_y
_atom_site_fract_z
La1 0.247 0.000 0.247
La2 0.247 0.500 0.749
Pm1 0.500 0.000 0.000
Nd1 0.500 0.500 0.500
Ho1 0.000 0.000 0.500
Ho2 0.000 0.500 0.000
# **Energy of formation**: 0.010 eV/atom

7.
# La5PmNd2Ho GGA-PBE optimized geometry
data_La5PmNd2Ho
_cell_length_a 9.052
_cell_length_b 9.052
_cell_length_c 15.810
_cell_angle_alpha 90.00
_cell_angle_beta 90.00
_cell_angle_gamma 90.00
_symmetry_space_group_name_H-M 'I 4/m c m'
_symmetry_Int_Tables_number 140
_symmetry_space_group_name_Hall '-I 4 2c'
loop_
_atom_site_label
_atom_site_fract_x
_atom_site_fract_y
_atom_site_fract_z
La1 0.000 0.000 0.000
La2 0.210 0.290 0.141
Pm1 0.000 0.000 0.250
Nd1 0.116 0.384 0.500
Ho1 0.000 0.500 0.250
# **Energy of formation**: 0.264 eV/atom

8.
# La2Pm2NdHo GGA-PBE optimized geometry
data_La2Pm2NdHo
_cell_length_a 7.163
_cell_length_b 5.798
_cell_length_c 10.017
_cell_angle_alpha 90.00
_cell_angle_beta 90.00
_cell_angle_gamma 90.00
_symmetry_space_group_name_H-M 'P m m a'
_symmetry_Int_Tables_number 51
loop_
_symmetry_equiv_pos_as_xyz
'x,y,z'
'-x,-y,-z'
'-x+1/2,-y,z'
'x+1/2,y,-z'
'x+1/2,-y,-z'
'-x+1/2,y,z'
'-x,y,-z'
'x,-y,z'
loop_
_atom_site_label
_atom_site_fract_x
_atom_site_fract_y
_atom_site_fract_z
La1 0.000 0.000 0.000
La2 0.250 0.500 0.176
Pm1 0.250 0.000 0.333
Pm2 0.250 0.500 0.835
Nd1 0.250 0.000 0.660
Ho1 0.000 0.500 0.500
# **Energy of formation**: 0.052 eV/atom